# 1
Here is an optimized crystal structure of MnHgRu2 from the Alexandria database. Energies are from PBEsol.

Properties
The value obtained for the size of the total moment is 3.1 μB per formula unit. The value obtained for the density of states at the Fermi level is 4.59 states/eV per cell. Its crystal system is tetragonal. The value obtained for the energy of formation is 0.443 eV/atom.

Unit cell a=3.839 b=3.839 c=4.778 alpha=113.68 beta=113.68 gamma=90.00
Last column: magnetic moment on the atom in μB.
Atoms (fractional coordinates):
Hg 0.500 0.500 0.000  0.01
Mn 0.250 0.750 0.500  3.12
Ru 0.000 0.000 0.000  -0.11
Ru 0.750 0.250 0.500  0.01

=====

# 2
Here is an optimized crystal structure of CsSn2BiPd from the Alexandria database. Energies are from PBEsol.

Properties
The value obtained for the size of the total moment is 0.0 μB per formula unit. The value obtained for the density of states at the Fermi level is 2.91 states/eV per cell. Its crystal system is tetragonal. The value obtained for the energy of formation is 1.821 eV/atom.

Unit cell a=5.905 b=5.905 c=6.037 alpha=90.00 beta=90.00 gamma=90.00
Atoms (fractional coordinates):
Cs 0.000 0.000 0.000
Bi 0.000 0.000 0.500
Pd 0.500 0.500 0.500
Sn 0.000 0.500 0.000
Sn 0.500 0.000 0.000

=====

# 3
Here is an optimized crystal structure of BePt3 from the Alexandria database. Energies are from PBEsol.

Properties
The value obtained for the size of the total moment is 0.0 μB per formula unit. The value obtained for the density of states at the Fermi level is 3.09 states/eV per cell. Its crystal system is orthorhombic. The value obtained for the energy of formation is -0.193 eV/atom.

Unit cell a=2.745 b=4.427 c=4.558 alpha=90.00 beta=90.00 gamma=90.00
Atoms (fractional coordinates):
Be 0.000 0.000 0.991
Pt 0.000 0.500 0.352
Pt 0.500 0.000 0.469
Pt 0.500 0.500 0.854

=====

# 4
Here is an optimized crystal structure of CoRh from the Alexandria database. Energies are from PBEsol.

Properties
The value obtained for the size of the total moment is 1.7 μB per formula unit. The value obtained for the density of states at the Fermi level is 5.38 states/eV per cell. Its crystal system is tetragonal. The value obtained for the energy of formation is 0.067 eV/atom.

Unit cell a=2.613 b=2.613 c=7.033 alpha=90.00 beta=90.00 gamma=90.00
Last column: magnetic moment on the atom in μB.
Atoms (fractional coordinates):
Rh 0.500 0.000 0.136  0.12
Rh 0.000 0.500 0.864  0.12
Co 0.500 0.000 0.610  1.59
Co 0.000 0.500 0.390  1.59

=====

# 5
Here is an optimized crystal structure of CeP2Pd2 from the Alexandria database. Energies are from PBEsol.

Properties
The value obtained for the size of the total moment is 0.4 μB per formula unit. The value obtained for the density of states at the Fermi level is 4.49 states/eV per cell. Its crystal system is tetragonal. The value obtained for the energy of formation is -1.007 eV/atom.

Unit cell a=4.036 b=4.036 c=5.768 alpha=110.48 beta=110.48 gamma=90.00
Last column: magnetic moment on the atom in μB.
Atoms (fractional coordinates):
P 0.389 0.389 0.779  0.00
P 0.611 0.611 0.221  0.00
Pd 0.250 0.750 0.500  0.00
Pd 0.750 0.250 0.500  0.00
Ce 0.000 0.000 0.000  0.37

=====

# 6
Here is an optimized crystal structure of InHg5 from the Alexandria database. Energies are from PBEsol.

Properties
The value obtained for the size of the total moment is 0.0 μB per formula unit. The value obtained for the density of states at the Fermi level is 2.06 states/eV per cell. Its crystal system is tetragonal. The value obtained for the energy of formation is -0.002 eV/atom. Its polymorph energy (0 for the lowest one) is 9.9 meV/atom.

Unit cell a=3.345 b=3.345 c=12.672 alpha=90.00 beta=90.00 gamma=90.00
Atoms (fractional coordinates):
Hg 0.000 0.000 0.831
Hg 0.000 0.000 0.169
Hg 0.500 0.500 0.666
Hg 0.500 0.500 0.334
Hg 0.000 0.000 0.500
In 0.500 0.500 0.000

=====

Look up the size of the total moment of the second one. 0.0 μB per formula unit

=====

Which formula does entry 1 have? MnHgRu2